PaMnTl2O6 | GGA+U | relaxed

Output
- DOS(E_F) (states/eV/f.u.) = 2.5
- volume (Å³ per atom) = 14.008
- SG = Fm-3m (225)
- total energy (eV for the cell shown) = -69.52

Lattice parameters (Å, degrees): 5.8295 5.8295 5.8295 60.00 60.00 60.00
Atoms (fractional coordinates):
Pa1 0.0000 0.0000 0.0000
Mn1 0.5000 0.5000 0.5000
Tl1 0.2500 0.2500 0.2500
Tl2 0.7500 0.7500 0.7500
O1 0.2642 0.2642 0.7358
O2 0.2642 0.7358 0.2642
O3 0.2642 0.7358 0.7358
O4 0.7358 0.2642 0.2642
O5 0.7358 0.2642 0.7358
O6 0.7358 0.7358 0.2642